Arrangement a

## SmHgC (PBE)

Data for a geometry-optimized SmHgC structure.

a = 3.7546 Å, b = 3.9481 Å, c = 10.5547 Å
α = 105.75°, β = 99.92°, γ = 61.27°
Fractional positions:
C1 0.8749 0.1549 0.7535
C2 0.7125 0.3981 0.6680
Sm1 0.3854 0.9497 0.5581
Sm2 0.5648 0.9032 0.8825
Hg1 0.6693 0.1478 0.3218
Hg2 0.9309 0.3987 0.1158

Values from the calculation:
magnetization: 0.000 μB/cell

Arrangement b

## SmHgC (PBE)

Data for a geometry-optimized SmHgC structure.

a = 3.7297 Å, b = 4.2808 Å, c = 9.6212 Å
α = 105.59°, β = 90.00°, γ = 115.83°
Fractional positions:
Hg1 0.3143 0.6285 0.3991
Hg2 0.6857 0.3715 0.6009
C1 0.4103 0.8206 0.9649
C2 0.5897 0.1794 0.0351
Sm1 0.0890 0.1779 0.8491
Sm2 0.9110 0.8221 0.1509

Values from the calculation:
magnetization: 0.000 μB/cell

arrangement b wins, 0.152 eV/atom ahead of the next structure.

Arrangement a

## Sm4HgC (PBE)

Data for a geometry-optimized Sm4HgC structure.

a = 6.2988 Å, b = 7.7733 Å, c = 8.3317 Å
α = 111.04°, β = 104.21°, γ = 106.51°
Fractional positions:
Sm1 0.4229 0.7376 0.9034
Sm2 0.5771 0.2624 0.0966
Sm3 0.9804 0.1658 0.9034
Sm4 0.0196 0.8342 0.0966
Sm5 0.7022 0.0671 0.4008
Sm6 0.2978 0.9329 0.5992
Sm7 0.1986 0.3337 0.4008
Sm8 0.8014 0.6663 0.5992
C1 0.1785 0.9285 0.8570
C2 0.8215 0.0715 0.1430
Hg1 0.3662 0.6162 0.2324
Hg2 0.6338 0.3838 0.7676

Values from the calculation:
magnetization: 0.000 μB/cell

Arrangement b

## Sm4HgC (PBE)

Data for a geometry-optimized Sm4HgC structure.

a = 5.1725 Å, b = 6.9690 Å, c = 9.4783 Å
α = 90.00°, β = 105.83°, γ = 90.00°
Fractional positions:
Hg1 0.8818 0.7963 0.7635
Hg2 0.1182 0.2963 0.2365
Sm1 0.5253 0.4533 0.0507
Sm2 0.0908 0.7866 0.1817
Sm3 0.3000 0.0621 0.6000
Sm4 0.6702 0.0593 0.3404
Sm5 0.3298 0.5593 0.6596
Sm6 0.9092 0.2866 0.8183
Sm7 0.7000 0.5621 0.4000
Sm8 0.4747 0.9533 0.9493
C1 0.4064 0.2758 0.8129
C2 0.5936 0.7758 0.1871

Values from the calculation:
magnetization: 0.000 μB/cell

arrangement b wins, 0.021 eV/atom ahead of the next structure.

Arrangement a

## Sn3HgC (PBE)

Data for a geometry-optimized Sn3HgC structure.

a = 4.8397 Å, b = 4.8397 Å, c = 4.8397 Å
α = 90.00°, β = 90.00°, γ = 90.00°
Fractional positions:
Sn1 0.0000 0.5000 0.0000
Sn2 0.0000 0.0000 0.5000
Sn3 0.5000 0.0000 0.0000
Hg1 0.5000 0.5000 0.5000
C1 0.0000 0.0000 0.0000

Values from the calculation:
magnetization: 0.000 μB/cell

Arrangement b

## Sn3HgC (PBE)

Data for a geometry-optimized Sn3HgC structure.

a = 5.5668 Å, b = 5.5668 Å, c = 5.5668 Å
α = 90.00°, β = 90.00°, γ = 90.00°
Fractional positions:
Sn1 0.5000 0.0000 0.0000
Sn2 0.0000 0.5000 0.0000
Sn3 0.0000 0.0000 0.5000
Hg1 0.0000 0.0000 0.0000
C1 0.5000 0.5000 0.5000

Values from the calculation:
magnetization: 1.248 μB/cell

arrangement a wins, 1.072 eV/atom ahead of the next structure.

Arrangement a

## SnHg2C (PBE)

Data for a geometry-optimized SnHg2C structure.

a = 4.9211 Å, b = 4.9211 Å, c = 4.9211 Å
α = 60.00°, β = 60.00°, γ = 60.00°
Fractional positions:
C1 0.0000 0.0000 0.0000
Hg1 0.2500 0.2500 0.2500
Hg2 0.7500 0.7500 0.7500
Sn1 0.5000 0.5000 0.5000

Values from the calculation:
magnetization: 0.000 μB/cell

Arrangement b

## SnHg2C (PBE)

Data for a geometry-optimized SnHg2C structure.

a = 6.8442 Å, b = 6.8442 Å, c = 6.8447 Å
α = 60.00°, β = 60.00°, γ = 90.00°
Fractional positions:
Hg1 0.3750 0.6273 0.7500
Hg2 0.8750 0.6227 0.7500
Hg3 0.3773 0.6250 0.2500
Hg4 0.3727 0.1250 0.2500
C1 0.5000 0.5000 0.0000
C2 0.2500 0.7500 0.5000
Sn1 0.0000 0.0000 0.0000
Sn2 0.7500 0.2500 0.5000

Values from the calculation:
magnetization: 0.000 μB/cell

arrangement b wins, 0.401 eV/atom ahead of the next structure.

Arrangement a

## ZrSnHg2C (PBE)

Data for a geometry-optimized ZrSnHg2C structure.

a = 5.5868 Å, b = 3.9374 Å, c = 5.5868 Å
α = 90.00°, β = 90.00°, γ = 90.00°
Fractional positions:
Sn1 0.0000 0.0000 0.0000
Hg1 0.5000 0.0000 0.0000
Hg2 0.0000 0.0000 0.5000
Zr1 0.5000 0.5000 0.5000
C1 0.0000 0.5000 0.0000

Values from the calculation:
magnetization: 0.750 μB/cell

Arrangement b

## ZrSnHg2C (PBE)

Data for a geometry-optimized ZrSnHg2C structure.

a = 5.3455 Å, b = 5.6766 Å, c = 5.3455 Å
α = 90.00°, β = 90.00°, γ = 90.00°
Fractional positions:
C1 0.5000 0.5000 0.5000
Sn1 0.0000 0.0000 0.0000
Hg1 0.5000 0.0000 0.0000
Hg2 0.0000 0.0000 0.5000
Zr1 0.0000 0.5000 0.0000

Values from the calculation:
magnetization: 0.859 μB/cell

arrangement a wins, 0.560 eV/atom ahead of the next structure.

Arrangement a

## SrHgC3 (PBE)

Data for a geometry-optimized SrHgC3 structure.

a = 4.7888 Å, b = 4.7888 Å, c = 4.7888 Å
α = 90.00°, β = 90.00°, γ = 90.00°
Fractional positions:
Hg1 0.5000 0.5000 0.5000
C1 0.0000 0.0000 0.5000
C2 0.5000 0.0000 0.0000
C3 0.0000 0.5000 0.0000
Sr1 0.0000 0.0000 0.0000

Values from the calculation:
magnetization: 1.259 μB/cell

Arrangement b

## SrHgC3 (PBE)

Data for a geometry-optimized SrHgC3 structure.

a = 4.4522 Å, b = 4.4522 Å, c = 4.4522 Å
α = 90.00°, β = 90.00°, γ = 90.00°
Fractional positions:
C1 0.0000 0.0000 0.5000
C2 0.5000 0.0000 0.0000
C3 0.0000 0.5000 0.0000
Hg1 0.0000 0.0000 0.0000
Sr1 0.5000 0.5000 0.5000

Values from the calculation:
magnetization: 0.000 μB/cell

arrangement b wins, 0.924 eV/atom ahead of the next structure.

Arrangement a

## TaHgC3 (PBE)

Data for a geometry-optimized TaHgC3 structure.

a = 4.2612 Å, b = 4.2612 Å, c = 4.2612 Å
α = 90.00°, β = 90.00°, γ = 90.00°
Fractional positions:
C1 0.0000 0.0000 0.5000
C2 0.0000 0.5000 0.0000
C3 0.5000 0.0000 0.0000
Ta1 0.0000 0.0000 0.0000
Hg1 0.5000 0.5000 0.5000

Values from the calculation:
magnetization: 0.000 μB/cell

Arrangement b

## TaHgC3 (PBE)

Data for a geometry-optimized TaHgC3 structure.

a = 4.1213 Å, b = 4.1213 Å, c = 4.1213 Å
α = 90.00°, β = 90.00°, γ = 90.00°
Fractional positions:
C1 0.0000 0.5000 0.0000
C2 0.0000 0.0000 0.5000
C3 0.5000 0.0000 0.0000
Ta1 0.5000 0.5000 0.5000
Hg1 0.0000 0.0000 0.0000

Values from the calculation:
magnetization: 0.000 μB/cell

arrangement a wins, 1.441 eV/atom ahead of the next structure.

Arrangement a

## TaHg3C (PBE)

Data for a geometry-optimized TaHg3C structure.

a = 5.4691 Å, b = 5.4691 Å, c = 5.4691 Å
α = 90.00°, β = 90.00°, γ = 90.00°
Fractional positions:
Hg1 0.0000 0.5000 0.0000
Hg2 0.5000 0.0000 0.0000
Hg3 0.0000 0.0000 0.5000
C1 0.5000 0.5000 0.5000
Ta1 0.0000 0.0000 0.0000

Values from the calculation:
magnetization: 1.046 μB/cell

Arrangement b

## TaHg3C (PBE)

Data for a geometry-optimized TaHg3C structure.

a = 4.5986 Å, b = 4.5986 Å, c = 4.5986 Å
α = 90.00°, β = 90.00°, γ = 90.00°
Fractional positions:
Hg1 0.5000 0.0000 0.0000
Hg2 0.0000 0.0000 0.5000
Hg3 0.0000 0.5000 0.0000
C1 0.0000 0.0000 0.0000
Ta1 0.5000 0.5000 0.5000

Values from the calculation:
magnetization: 0.000 μB/cell

arrangement b wins, 0.505 eV/atom ahead of the next structure.